w.
The following is a DFT calculation (PBE) of crystalline Tb5YTm3 at its relaxed geometry.

Geometry as POSCAR:
```
Tb5YTm3
1.0
7.5257 -5.7077 0.0000
7.5257 5.7077 0.0000
-6.3090 0.0000 7.5557
Tb Y Tm
10 2 6
direct
0.1017 0.6059 0.2522 Tb
0.2252 0.2252 0.2349 Tb
0.2430 0.7570 0.0000 Tb
0.2783 0.2783 0.9609 Tb
0.3941 0.8983 0.7478 Tb
0.6059 0.1017 0.2522 Tb
0.7217 0.7217 0.0391 Tb
0.7570 0.2430 0.0000 Tb
0.7748 0.7748 0.7651 Tb
0.8983 0.3941 0.7478 Tb
0.2469 0.2469 0.5961 Y
0.7531 0.7531 0.4039 Y
0.0000 0.0000 0.5000 Tm
0.0107 0.0107 0.8223 Tm
0.4818 0.4818 0.6410 Tm
0.5000 0.5000 0.0000 Tm
0.5182 0.5182 0.3590 Tm
0.9893 0.9893 0.1777 Tm
```

DOS(E_F) in states/eV/cell: 25.23
Crystal system: monoclinic

x.
The following is a DFT calculation (PBE) of crystalline Tb5YTm3 at its relaxed geometry.

Geometry as POSCAR:
```
Tb5YTm3
1.0
-3.6072 8.6127 4.6021
3.6072 -8.6127 4.6021
3.6072 8.6127 -4.6021
Tb Y Tm
10 2 6
direct
0.1571 0.3174 0.3327 Tb
0.1571 0.8244 0.8396 Tb
0.2949 0.0449 0.2500 Tb
0.4847 0.3174 0.6604 Tb
0.4847 0.8244 0.1673 Tb
0.5153 0.1756 0.8327 Tb
0.5153 0.6826 0.3396 Tb
0.7051 0.9551 0.7500 Tb
0.8429 0.1756 0.1604 Tb
0.8429 0.6826 0.6673 Tb
0.3400 0.5900 0.7500 Y
0.6600 0.4100 0.2500 Y
0.0000 0.0000 0.5000 Tm
0.0000 0.5000 0.0000 Tm
0.1796 0.7478 0.4318 Tm
0.1840 0.2522 0.9318 Tm
0.8160 0.7478 0.0682 Tm
0.8204 0.2522 0.5682 Tm
```

DOS(E_F) in states/eV/cell: 23.26
Crystal system: orthorhombic

Energies relative to the most stable structure are w 381; x 0, reported in meV/atom.

w.
The following is a DFT calculation (PBE) of crystalline Tb5YTm4 at its relaxed geometry.

Geometry as POSCAR:
```
Tb5YTm4
1.0
8.3831 -1.7560 0.0000
8.3831 1.7560 0.0000
-3.6230 0.0000 10.6775
Tb Y Tm
5 1 4
direct
0.0000 0.0000 0.0000 Tb
0.2870 0.2870 0.3816 Tb
0.3112 0.3112 0.9243 Tb
0.6888 0.6888 0.0757 Tb
0.7130 0.7130 0.6184 Tb
0.0000 0.0000 0.5000 Y
0.1056 0.1056 0.7959 Tm
0.4172 0.4172 0.7079 Tm
0.5828 0.5828 0.2921 Tm
0.8944 0.8944 0.2041 Tm
```

DOS(E_F) in states/eV/cell: 15.02
Crystal system: monoclinic

x.
The following is a DFT calculation (PBE) of crystalline Tb5YTm4 at its relaxed geometry.

Geometry as POSCAR:
```
Tb5YTm4
1.0
-5.0617 5.0617 3.1401
5.0617 -5.0617 3.1401
5.0617 5.0617 -3.1401
Tb Y Tm
5 1 4
direct
0.0000 0.0000 0.0000 Tb
0.0337 0.4132 0.9106 Tb
0.1231 0.0337 0.6205 Tb
0.4132 0.5026 0.3795 Tb
0.5026 0.1231 0.0894 Tb
0.5427 0.5427 0.0000 Y
0.1167 0.7193 0.2980 Tm
0.4213 0.8187 0.7020 Tm
0.7193 0.4213 0.6026 Tm
0.8187 0.1167 0.3974 Tm
```

DOS(E_F) in states/eV/cell: 14.65
Crystal system: tetragonal

Energies relative to the most stable structure are w 0; x 276, reported in meV/atom.

w.
The following is a DFT calculation (PBE) of crystalline Tb5Y4Tm at its relaxed geometry.

Geometry as POSCAR:
```
Tb5Y4Tm
1.0
-5.2908 5.2908 2.9526
5.2908 -5.2908 2.9526
5.2908 5.2908 -2.9526
Tb Y Tm
5 4 1
direct
0.0000 0.0000 0.0000 Tb
0.5470 0.5470 0.6239 Tb
0.5470 0.9230 0.0000 Tb
0.9230 0.5470 0.0000 Tb
0.9230 0.9230 0.3761 Tb
0.2380 0.5596 0.3216 Y
0.2380 0.9165 0.6784 Y
0.5596 0.2380 0.3216 Y
0.9165 0.2380 0.6784 Y
0.4709 0.4709 0.0000 Tm
```

DOS(E_F) in states/eV/cell: 13.98
Crystal system: tetragonal

x.
The following is a DFT calculation (PBE) of crystalline Tb5Y4Tm at its relaxed geometry.

Geometry as POSCAR:
```
Tb5Y4Tm
1.0
3.5509 0.0000 0.0000
-0.0149 7.1103 0.0000
-1.7745 -1.7603 12.5884
Tb Y Tm
5 4 1
direct
0.0000 0.0000 0.0000 Tb
0.2005 0.1004 0.4006 Tb
0.2003 0.5998 0.4003 Tb
0.7997 0.4002 0.5997 Tb
0.7995 0.8996 0.5994 Tb
0.4004 0.2008 0.8009 Y
0.4003 0.6998 0.8011 Y
0.5997 0.3002 0.1989 Y
0.5996 0.7992 0.1991 Y
0.0000 0.5000 0.0000 Tm
```

DOS(E_F) in states/eV/cell: 13.09
Crystal system: triclinic

Energies relative to the most stable structure are w 230; x 0, reported in meV/atom.

w.
The following is a DFT calculation (PBE) of crystalline Tb3YTm2 at its relaxed geometry.

Geometry as POSCAR:
```
Tb3YTm2
1.0
10.9369 -1.8116 0.0000
10.9369 1.8116 0.0000
-5.7417 0.0000 9.6273
Tb Y Tm
6 2 4
direct
0.0550 0.0550 0.1802 Tb
0.2774 0.2774 0.6538 Tb
0.3878 0.3878 0.0148 Tb
0.6122 0.6122 0.9852 Tb
0.7226 0.7226 0.3462 Tb
0.9450 0.9450 0.8198 Tb
0.3901 0.3901 0.5129 Y
0.6099 0.6099 0.4871 Y
0.0562 0.0562 0.6810 Tm
0.2783 0.2783 0.1519 Tm
0.7217 0.7217 0.8481 Tm
0.9438 0.9438 0.3190 Tm
```

DOS(E_F) in states/eV/cell: 19.81
Crystal system: monoclinic

x.
The following is a DFT calculation (PBE) of crystalline Tb3YTm2 at its relaxed geometry.

Geometry as POSCAR:
```
Tb3YTm2
1.0
11.5034 -1.7395 0.0000
11.5034 1.7395 0.0000
-3.2180 0.0000 9.6467
Tb Y Tm
6 2 4
direct
0.0594 0.0594 0.4383 Tb
0.1964 0.1964 0.7137 Tb
0.4307 0.4307 0.2325 Tb
0.5693 0.5693 0.7675 Tb
0.8036 0.8036 0.2863 Tb
0.9406 0.9406 0.5617 Tb
0.1861 0.1861 0.0393 Y
0.8139 0.8139 0.9607 Y
0.1928 0.1928 0.3728 Tm
0.4300 0.4300 0.8622 Tm
0.5700 0.5700 0.1378 Tm
0.8072 0.8072 0.6272 Tm
```

DOS(E_F) in states/eV/cell: 20.11
Crystal system: monoclinic

Energies relative to the most stable structure are w 0; x 121, reported in meV/atom.

w.
The following is a DFT calculation (PBE) of crystalline Tb3YTm7 at its relaxed geometry.

Geometry as POSCAR:
```
Tb3YTm7
1.0
6.8958 0.0000 0.0000
0.0000 5.4509 0.0000
-3.3754 0.0000 9.2499
Tb Y Tm
3 1 7
direct
0.0000 0.0000 0.0000 Tb
0.2195 0.5000 0.5014 Tb
0.7805 0.5000 0.4986 Tb
0.5000 0.0000 0.0000 Y
0.0814 0.0000 0.6693 Tm
0.1796 0.5000 0.8594 Tm
0.3534 0.5000 0.2098 Tm
0.5000 0.0000 0.5000 Tm
0.6466 0.5000 0.7902 Tm
0.8204 0.5000 0.1406 Tm
0.9186 0.0000 0.3307 Tm
```

DOS(E_F) in states/eV/cell: 19.70
Crystal system: monoclinic

x.
The following is a DFT calculation (PBE) of crystalline Tb3YTm7 at its relaxed geometry.

Geometry as POSCAR:
```
Tb3YTm7
1.0
6.9742 0.0000 0.0000
-3.4871 6.0398 0.0000
0.0000 0.0000 8.5257
Tb Y Tm
3 1 7
direct
0.1670 0.3340 0.0000 Tb
0.1670 0.8330 0.0000 Tb
0.6660 0.8330 0.0000 Tb
0.0000 0.0000 0.3374 Y
0.0022 0.5011 0.3376 Tm
0.3319 0.1659 0.6655 Tm
0.3333 0.6667 0.6640 Tm
0.4989 0.5011 0.3376 Tm
0.4989 0.9978 0.3376 Tm
0.8341 0.1659 0.6655 Tm
0.8341 0.6681 0.6655 Tm
```

DOS(E_F) in states/eV/cell: 17.48
Crystal system: trigonal

Energies relative to the most stable structure are w 0; x 34, reported in meV/atom.

w.
The following is a DFT calculation (PBE) of crystalline Tb6Y4Tm at its relaxed geometry.

Geometry as POSCAR:
```
Tb6Y4Tm
1.0
-3.2860 3.2860 8.5527
3.2860 -3.2860 8.5527
3.2860 3.2860 -8.5527
Tb Y Tm
6 4 1
direct
0.0000 0.5000 0.5000 Tb
0.0137 0.6420 0.0000 Tb
0.3580 0.3580 0.3717 Tb
0.5000 0.0000 0.5000 Tb
0.6420 0.0137 0.0000 Tb
0.9863 0.9863 0.6283 Tb
0.1888 0.1888 0.6413 Y
0.4525 0.8112 0.0000 Y
0.5475 0.5475 0.3587 Y
0.8112 0.4525 0.0000 Y
0.0000 0.0000 0.0000 Tm
```

DOS(E_F) in states/eV/cell: 14.51
Crystal system: tetragonal

x.
The following is a DFT calculation (PBE) of crystalline Tb6Y4Tm at its relaxed geometry.

Geometry as POSCAR:
```
Tb6Y4Tm
1.0
2.8588 -4.8267 0.0000
2.8588 4.8267 0.0000
0.0000 0.0000 25.6126
Tb Y Tm
12 8 2
direct
0.0000 0.0000 0.0000 Tb
0.0000 0.0000 0.5000 Tb
0.0271 0.9729 0.7500 Tb
0.3074 0.6926 0.1051 Tb
0.3074 0.6926 0.3949 Tb
0.3609 0.6391 0.6828 Tb
0.3609 0.6391 0.8172 Tb
0.6391 0.3609 0.1828 Tb
0.6391 0.3609 0.3172 Tb
0.6926 0.3074 0.6051 Tb
0.6926 0.3074 0.8949 Tb
0.9729 0.0271 0.2500 Tb
0.0313 0.9687 0.6221 Y
0.0313 0.9687 0.8779 Y
0.3445 0.6555 0.5433 Y
0.3445 0.6555 0.9567 Y
0.6555 0.3445 0.0433 Y
0.6555 0.3445 0.4567 Y
0.9687 0.0313 0.1221 Y
0.9687 0.0313 0.3779 Y
0.3079 0.6921 0.2500 Tm
0.6921 0.3079 0.7500 Tm
```

DOS(E_F) in states/eV/cell: 40.69
Crystal system: orthorhombic

Energies relative to the most stable structure are w 181; x 0, reported in meV/atom.

w.
The following is a DFT calculation (PBE) of crystalline Tb5Y2Tm4 at its relaxed geometry.

Geometry as POSCAR:
```
Tb5Y2Tm4
1.0
8.2561 -3.3024 0.0000
8.2561 3.3024 0.0000
-1.2381 0.0000 6.4688
Tb Y Tm
5 2 4
direct
0.0000 0.0000 0.0000 Tb
0.1759 0.6477 0.5963 Tb
0.3523 0.8241 0.4037 Tb
0.6477 0.1759 0.5963 Tb
0.8241 0.3523 0.4037 Tb
0.2027 0.2027 0.8083 Y
0.7973 0.7973 0.1917 Y
0.2447 0.2447 0.3192 Tm
0.4111 0.4111 0.0960 Tm
0.5889 0.5889 0.9040 Tm
0.7553 0.7553 0.6808 Tm
```

DOS(E_F) in states/eV/cell: 17.97
Crystal system: monoclinic

x.
The following is a DFT calculation (PBE) of crystalline Tb5Y2Tm4 at its relaxed geometry.

Geometry as POSCAR:
```
Tb5Y2Tm4
1.0
5.4871 -3.6362 0.0000
5.4871 3.6362 0.0000
-2.6430 0.0000 8.7585
Tb Y Tm
5 2 4
direct
0.0000 0.0000 0.0000 Tb
0.2106 0.6507 0.7274 Tb
0.3493 0.7894 0.2726 Tb
0.6507 0.2106 0.7274 Tb
0.7894 0.3493 0.2726 Tb
0.1456 0.1456 0.6217 Y
0.8544 0.8544 0.3783 Y
0.3128 0.3128 0.0037 Tm
0.3356 0.3356 0.3823 Tm
0.6644 0.6644 0.6177 Tm
0.6872 0.6872 0.9963 Tm
```

DOS(E_F) in states/eV/cell: 17.75
Crystal system: monoclinic

Energies relative to the most stable structure are w 28; x 0, reported in meV/atom.

w.
The following is a DFT calculation (PBE) of crystalline Tb5Y2Tm2 at its relaxed geometry.

Geometry as POSCAR:
```
Tb5Y2Tm2
1.0
8.1566 -2.8836 0.0000
8.1566 2.8836 0.0000
-1.6969 0.0000 6.1059
Tb Y Tm
5 2 2
direct
0.0000 0.0000 0.0000 Tb
0.2091 0.2091 0.0670 Tb
0.3220 0.3220 0.6410 Tb
0.6780 0.6780 0.3590 Tb
0.7909 0.7909 0.9330 Tb
0.4379 0.4379 0.2165 Y
0.5621 0.5621 0.7835 Y
0.1016 0.1016 0.5211 Tm
0.8984 0.8984 0.4789 Tm
```

DOS(E_F) in states/eV/cell: 19.08
Crystal system: monoclinic

x.
The following is a DFT calculation (PBE) of crystalline Tb5Y2Tm2 at its relaxed geometry.

Geometry as POSCAR:
```
Tb5Y2Tm2
1.0
-7.4138 5.8442 3.3513
7.4138 -5.8442 3.3513
7.4138 5.8442 -3.3513
Tb Y Tm
10 4 4
direct
0.2482 0.0513 0.2995 Tb
0.2482 0.4487 0.6969 Tb
0.4407 0.0333 0.1209 Tb
0.4407 0.8198 0.9074 Tb
0.4456 0.4421 0.5035 Tb
0.7518 0.5513 0.3031 Tb
0.7518 0.9487 0.7005 Tb
0.9125 0.3198 0.8791 Tb
0.9125 0.5333 0.0926 Tb
0.9385 0.9421 0.4965 Tb
0.3441 0.2195 0.8714 Y
0.3441 0.9728 0.6246 Y
0.3482 0.4728 0.1286 Y
0.3482 0.7195 0.3754 Y
0.8078 0.3078 0.5000 Tm
0.8078 0.8078 0.0000 Tm
0.8864 0.1488 0.2376 Tm
0.9111 0.6488 0.7624 Tm
```

DOS(E_F) in states/eV/cell: 29.86
Crystal system: orthorhombic

Energies relative to the most stable structure are w 0; x 111, reported in meV/atom.

w.
The following is a DFT calculation (PBE) of crystalline Tb6Y3Tm at its relaxed geometry.

Geometry as POSCAR:
```
Tb6Y3Tm
1.0
4.6974 -7.7198 0.0000
4.6974 7.7198 0.0000
0.0000 0.0000 8.9085
Tb Y Tm
12 6 2
direct
0.0527 0.9473 0.5000 Tb
0.1791 0.4714 0.0129 Tb
0.1862 0.3061 0.6869 Tb
0.2804 0.7196 0.6143 Tb
0.3061 0.1862 0.1869 Tb
0.4714 0.1791 0.5129 Tb
0.5286 0.8209 0.0129 Tb
0.6939 0.8138 0.6869 Tb
0.7196 0.2804 0.1143 Tb
0.8138 0.6939 0.1869 Tb
0.8209 0.5286 0.5129 Tb
0.9473 0.0527 0.0000 Tb
0.0267 0.3258 0.3595 Y
0.3258 0.0267 0.8595 Y
0.4496 0.5504 0.3714 Y
0.5504 0.4496 0.8714 Y
0.6742 0.9733 0.3595 Y
0.9733 0.6742 0.8595 Y
0.2204 0.7796 0.2490 Tm
0.7796 0.2204 0.7490 Tm
```

DOS(E_F) in states/eV/cell: 25.43
Crystal system: orthorhombic

x.
The following is a DFT calculation (PBE) of crystalline Tb6Y3Tm at its relaxed geometry.

Geometry as POSCAR:
```
Tb6Y3Tm
1.0
5.5225 -9.5351 0.0000
5.5225 9.5351 0.0000
0.0000 0.0000 6.1681
Tb Y Tm
12 6 2
direct
0.0452 0.4666 0.9334 Tb
0.0468 0.9532 0.5000 Tb
0.2806 0.7194 0.2135 Tb
0.2884 0.3813 0.1073 Tb
0.3813 0.2884 0.6073 Tb
0.4666 0.0452 0.4334 Tb
0.5334 0.9548 0.9334 Tb
0.6187 0.7116 0.1073 Tb
0.7116 0.6187 0.6073 Tb
0.7194 0.2806 0.7135 Tb
0.9532 0.0468 0.0000 Tb
0.9548 0.5334 0.4334 Tb
0.0590 0.2779 0.5333 Y
0.2779 0.0590 0.0333 Y
0.3895 0.6105 0.6422 Y
0.6105 0.3895 0.1422 Y
0.7221 0.9410 0.5333 Y
0.9410 0.7221 0.0333 Y
0.2063 0.7937 0.7099 Tm
0.7937 0.2063 0.2099 Tm
```

DOS(E_F) in states/eV/cell: 29.40
Crystal system: orthorhombic

Energies relative to the most stable structure are w 0; x 10, reported in meV/atom.

w.
The following is a DFT calculation (PBE) of crystalline Tb6YTm at its relaxed geometry.

Geometry as POSCAR:
```
Tb6YTm
1.0
5.0258 0.0000 0.0000
0.0000 5.0258 0.0000
0.0000 0.0000 10.0517
Tb Y Tm
6 1 1
direct
0.0000 0.0000 0.0000 Tb
0.0000 0.0000 0.5000 Tb
0.0000 0.5000 0.2484 Tb
0.0000 0.5000 0.7516 Tb
0.5000 0.0000 0.2484 Tb
0.5000 0.0000 0.7516 Tb
0.5000 0.5000 0.5000 Y
0.5000 0.5000 0.0000 Tm
```

DOS(E_F) in states/eV/cell: 11.88
Crystal system: tetragonal

x.
The following is a DFT calculation (PBE) of crystalline Tb6YTm at its relaxed geometry.

Geometry as POSCAR:
```
Tb6YTm
1.0
6.5426 0.0000 0.0000
-0.0546 6.7383 0.0000
-1.5343 -3.3298 5.8542
Tb Y Tm
6 1 1
direct
0.2279 0.4036 0.4739 Tb
0.2487 0.9488 0.9990 Tb
0.2682 0.9244 0.5191 Tb
0.7318 0.0756 0.4809 Tb
0.7513 0.0512 0.0010 Tb
0.7721 0.5964 0.5261 Tb
0.5000 0.5000 0.0000 Y
0.0000 0.5000 0.0000 Tm
```

DOS(E_F) in states/eV/cell: 13.94
Crystal system: triclinic

Energies relative to the most stable structure are w 0; x 180, reported in meV/atom.